[1]
# CoSn2I

CoSn2I after structural relaxation (GGA-PBE, the Alexandria database).

Properties
ρ: 6923 kg/m3
distance to the lowest polymorph of the same formula: 0.500 eV per atom
V: 25.38 Å³ per atom
symmetry: Fm-3m
crystal system: cubic
formation energy (no corrections): 0.7544 eV per atom
Fermi-level density of states: 5.181 states/eV/f.u.

Cell: 5.2363 5.2363 5.2363 Å, 60.00 60.00 60.00°
Positions (direct):
Co: 0.0000 0.0000 0.0000
Sn: 0.2500 0.2500 0.2500
Sn: 0.7500 0.7500 0.7500
I: 0.5000 0.5000 0.5000

=====

[2]
# Mo2PdRu

Mo2PdRu after structural relaxation (GGA-PBE, the Alexandria database).

Properties
ρ: 11033 kg/m3
distance to the lowest polymorph of the same formula: 0.000 eV per atom
V: 15.03 Å³ per atom
symmetry: I4/mmm
energy of formation: -0.001 eV per atom
crystal system: tetragonal
Fermi-level density of states: 2.268 states/eV/f.u.

Cell: 4.7988 4.7988 4.7988 Å, 131.84 131.84 70.49°
Positions (direct):
Mo: 0.2500 0.7500 0.5000
Mo: 0.7500 0.2500 0.5000
Pd: 0.0000 0.0000 0.0000
Ru: 0.5000 0.5000 0.0000

=====

[3]
# PmGaAgSb

PmGaAgSb after structural relaxation (GGA-PBE, the Alexandria database).

Properties
ρ: 7689 kg/m3
V: 23.99 Å³ per atom
symmetry: F-43m
crystal system: cubic
formation energy (no corrections): -0.2770 eV per atom
Fermi-level density of states: 1.471 states/eV/f.u.

Cell: 5.1389 5.1389 5.1389 Å, 60.00 60.00 60.00°
Positions (direct):
Pm: 0.0000 0.0000 0.0000
Ga: 0.7500 0.7500 0.7500
Ag: 0.5000 0.5000 0.5000
Sb: 0.2500 0.2500 0.2500

=====

[4]
# Sm6SbSe3S2

Sm6SbSe3S2 after structural relaxation (GGA-PBE, the Alexandria database).

Properties
ρ: 7111 kg/m3
V: 25.78 Å³ per atom
symmetry: C2/m
crystal system: monoclinic
formation energy (no corrections): -1.7613 eV per atom
Fermi-level density of states: 4.759 states/eV/f.u.

Cell: 9.3473 9.3473 8.3968 Å, 103.37 103.37 25.73°
Positions (direct):
Sm: 0.0085 0.0085 0.2639
Sm: 0.3281 0.3281 0.4271
Sm: 0.3280 0.3280 0.8945
Sm: 0.6720 0.6720 0.1055
Sm: 0.6719 0.6719 0.5729
Sm: 0.9915 0.9915 0.7361
Sb: 0.5000 0.5000 0.0000
Se: 0.1626 0.1626 0.8333
Se: 0.5000 0.5000 0.5000
Se: 0.8374 0.8374 0.1667
S: 0.1689 0.1689 0.3376
S: 0.8311 0.8311 0.6624

=====

[5]
# Hg2Pd8Au3

Hg2Pd8Au3 after structural relaxation (GGA-PBE, the Alexandria database).

Properties
ρ: 13190 kg/m3
distance to the lowest polymorph of the same formula: 0.024 eV per atom
V: 17.85 Å³ per atom
symmetry: C2/m
energy of formation: 0.051 eV per atom
crystal system: monoclinic
Fermi-level density of states: 11.587 states/eV/f.u.

Cell: 7.5645 7.5645 4.7294 Å, 94.33 94.33 59.41°
Positions (direct):
Hg: 0.1587 0.1587 0.2668
Hg: 0.8413 0.8413 0.7332
Pd: 0.0545 0.0545 0.7510
Pd: 0.1182 0.5365 0.3124
Pd: 0.3098 0.3098 0.8070
Pd: 0.4635 0.8818 0.6876
Pd: 0.5365 0.1182 0.3124
Pd: 0.6902 0.6902 0.1930
Pd: 0.8818 0.4635 0.6876
Pd: 0.9455 0.9455 0.2490
Au: 0.3097 0.6903 0.0000
Au: 0.5000 0.5000 0.5000
Au: 0.6903 0.3097 0.0000

=====

[6]
# Sm3Er3Sc

Sm3Er3Sc after structural relaxation (GGA-PBE, the Alexandria database).

Properties
ρ: 7582 kg/m3
distance to the lowest polymorph of the same formula: 0.000 eV per atom
V: 31.22 Å³ per atom
symmetry: P6_3/m
energy of formation: 0.031 eV per atom
crystal system: hexagonal
Fermi-level density of states: 12.967 states/eV/f.u.

Cell: 9.4500 9.4500 5.6512 Å, 90.00 90.00 120.00°
Positions (direct):
Sm: 0.0522 0.8066 0.2500
Sm: 0.1934 0.2456 0.2500
Sm: 0.2456 0.0522 0.7500
Sm: 0.7544 0.9478 0.2500
Sm: 0.8066 0.7544 0.7500
Sm: 0.9478 0.1934 0.7500
Er: 0.0966 0.6163 0.7500
Er: 0.3837 0.4804 0.7500
Er: 0.4804 0.0966 0.2500
Er: 0.5196 0.9034 0.7500
Er: 0.6163 0.5196 0.2500
Er: 0.9034 0.3837 0.2500
Sc: 0.3333 0.6667 0.2500
Sc: 0.6667 0.3333 0.7500

=====

[7]
# MnZn5Rh6

MnZn5Rh6 after structural relaxation (GGA-PBE, the Alexandria database).

Properties
ρ: 10052 kg/m3
V: 13.76 Å³ per atom
symmetry: Cmmm
energy of formation: -0.368 eV per atom
crystal system: orthorhombic
Fermi-level density of states: 7.821 states/eV/f.u.

Cell: 6.7355 6.7355 6.0597 Å, 90.00 90.00 143.09°
Positions (direct):
Mn: 0.0000 0.0000 0.0000
Zn: 0.0000 0.0000 0.5000
Zn: 0.3330 0.6670 0.0000
Zn: 0.3330 0.6670 0.5000
Zn: 0.6670 0.3330 0.0000
Zn: 0.6670 0.3330 0.5000
Rh: 0.1647 0.8353 0.2488
Rh: 0.1647 0.8353 0.7512
Rh: 0.5000 0.5000 0.2473
Rh: 0.5000 0.5000 0.7527
Rh: 0.8353 0.1647 0.2488
Rh: 0.8353 0.1647 0.7512

=====

[8]
# BRhPbC

BRhPbC after structural relaxation (GGA-PBE, the Alexandria database).

Properties
ρ: 8851 kg/m3
V: 15.61 Å³ per atom
symmetry: P2_1/m
energy of formation: 0.498 eV per atom
crystal system: monoclinic
Fermi-level density of states: 1.815 states/eV/f.u.

Cell: 4.1340 3.7813 7.9926 Å, 90.00 91.00 90.00°
Positions (direct):
B: 0.2253 0.2500 0.3811
B: 0.7747 0.7500 0.6189
Rh: 0.2473 0.7500 0.5253
Rh: 0.7527 0.2500 0.4747
Pb: 0.2274 0.2500 0.8523
Pb: 0.7726 0.7500 0.1477
C: 0.4631 0.2500 0.2424
C: 0.5369 0.7500 0.7576

=====

[9]
# HgOsN3

HgOsN3 after structural relaxation (GGA-PBE, the Alexandria database).

Properties
ρ: 10655 kg/m3
V: 13.49 Å³ per atom
symmetry: Pm-3m
crystal system: cubic
formation energy (no corrections): 3.4202 eV per atom
Fermi-level density of states: 6.388 states/eV/f.u.

Cell: 4.0708 4.0708 4.0708 Å, 90.00 90.00 90.00°
Positions (direct):
Hg: 0.0000 0.0000 0.0000
Os: 0.5000 0.5000 0.5000
N: 0.0000 0.0000 0.5000
N: 0.0000 0.5000 0.0000
N: 0.5000 0.0000 0.0000

=====

[10]
# BiAsSe2Cl

BiAsSe2Cl after structural relaxation (GGA-PBE, the Alexandria database).

Properties
ρ: 6211 kg/m3
distance to the lowest polymorph of the same formula: 0.000 eV per atom
V: 25.52 Å³ per atom
symmetry: P4/mmm
crystal system: tetragonal
formation energy (no corrections): 0.7066 eV per atom
Fermi-level density of states: 5.930 states/eV/f.u.

Cell: 5.1426 5.1426 4.8248 Å, 90.00 90.00 90.00°
Positions (direct):
Bi: 0.0000 0.0000 0.0000
As: 0.5000 0.5000 0.0000
Se: 0.0000 0.5000 0.5000
Se: 0.5000 0.0000 0.5000
Cl: 0.5000 0.5000 0.5000

=====

[11]
# Tm5ScAl3

Tm5ScAl3 after structural relaxation (GGA-PBE, the Alexandria database).

Properties
ρ: 7294 kg/m3
V: 24.55 Å³ per atom
symmetry: P6_3/mcm
energy of formation: -0.283 eV per atom
crystal system: hexagonal
Fermi-level density of states: 7.690 states/eV/f.u.

Cell: 8.8900 8.8900 6.4569 Å, 90.00 90.00 120.00°
Positions (direct):
Tm: 0.0000 0.3263 0.2500
Tm: 0.0000 0.6736 0.7500
Tm: 0.3263 0.0000 0.2500
Tm: 0.3263 0.3263 0.7500
Tm: 0.3333 0.6667 0.0000
Tm: 0.3333 0.6667 0.5000
Tm: 0.6667 0.3333 0.0000
Tm: 0.6667 0.3333 0.5000
Tm: 0.6736 0.0000 0.7500
Tm: 0.6736 0.6736 0.2500
Sc: 0.0000 0.0000 0.0000
Sc: 0.0000 0.0000 0.5000
Al: 0.0000 0.3363 0.7500
Al: 0.0000 0.6637 0.2500
Al: 0.3363 0.0000 0.7500
Al: 0.3363 0.3363 0.2500
Al: 0.6637 0.0000 0.2500
Al: 0.6637 0.6637 0.7500

=====

[12]
# BeAg2OsS

BeAg2OsS after structural relaxation (GGA-PBE, the Alexandria database).

Properties
ρ: 6934 kg/m3
V: 21.41 Å³ per atom
symmetry: P4/mmm
crystal system: tetragonal
formation energy (no corrections): 1.5081 eV per atom
Fermi-level density of states: 3.635 states/eV/f.u.

Cell: 5.1012 5.1012 4.1140 Å, 90.00 90.00 90.00°
Positions (direct):
Be: 0.0000 0.0000 0.0000
Ag: 0.0000 0.5000 0.5000
Ag: 0.5000 0.0000 0.5000
Os: 0.0000 0.0000 0.5000
S: 0.5000 0.5000 0.0000

=====

[13]
# TaV4Re

TaV4Re after structural relaxation (GGA-PBE, the Alexandria database).

Properties
ρ: 9045 kg/m3
distance to the lowest polymorph of the same formula: 0.912 eV per atom
V: 17.47 Å³ per atom
symmetry: C2/m
energy of formation: 0.771 eV per atom
crystal system: monoclinic
Fermi-level density of states: 9.897 states/eV/f.u.

Cell: 4.1738 4.1738 7.3414 Å, 106.37 106.37 60.08°
Positions (direct):
Ta: 0.0000 0.0000 0.0000
V: 0.1271 0.1271 0.3812
V: 0.3796 0.3796 0.1384
V: 0.6204 0.6204 0.8616
V: 0.8729 0.8729 0.6188
Re: 0.5000 0.5000 0.5000

=====

[14]
# La2Cu2I

La2Cu2I after structural relaxation (GGA-PBE, the Alexandria database).

Properties
ρ: 6349 kg/m3
distance to the lowest polymorph of the same formula: 0.000 eV per atom
V: 27.82 Å³ per atom
symmetry: P-6m2
crystal system: hexagonal
formation energy (no corrections): -0.6012 eV per atom
Fermi-level density of states: 4.447 states/eV/f.u.

Cell: 4.2915 4.2915 8.7201 Å, 90.00 90.00 120.00°
Positions (direct):
La: 0.0000 0.0000 0.2094
La: 0.0000 0.0000 0.7906
Cu: 0.3333 0.6667 0.0000
Cu: 0.6667 0.3333 0.0000
I: 0.6667 0.3333 0.5000

=====

[15]
# LuUGaTc

LuUGaTc after structural relaxation (GGA-PBE, the Alexandria database).

Properties
ρ: 11804 kg/m3
V: 20.42 Å³ per atom
symmetry: F-43m
energy of formation: -0.035 eV per atom
crystal system: cubic
Fermi-level density of states: 8.285 states/eV/f.u.

Cell: 4.8704 4.8704 4.8704 Å, 60.00 60.00 60.00°
Positions (direct):
Lu: 0.0000 0.0000 0.0000
U: 0.5000 0.5000 0.5000
Ga: 0.7500 0.7500 0.7500
Tc: 0.2500 0.2500 0.2500

=====

[16]
# Pm2Ag15Pb2

Pm2Ag15Pb2 after structural relaxation (GGA-PBE, the Alexandria database).

Properties
ρ: 9611 kg/m3
V: 21.12 Å³ per atom
symmetry: R-3m
energy of formation: -0.051 eV per atom
crystal system: trigonal
Fermi-level density of states: 10.973 states/eV/f.u.

Cell: 7.4139 7.4139 7.4139 Å, 84.01 84.01 84.01°
Positions (direct):
Pm: 0.1480 0.1480 0.1480
Pm: 0.8520 0.8520 0.8520
Ag: 0.0000 0.5000 0.5000
Ag: 0.1520 0.1520 0.6708
Ag: 0.1520 0.6708 0.1520
Ag: 0.1788 0.5000 0.8212
Ag: 0.1788 0.8212 0.5000
Ag: 0.3292 0.8480 0.8480
Ag: 0.5000 0.0000 0.5000
Ag: 0.5000 0.1788 0.8212
Ag: 0.5000 0.5000 0.0000
Ag: 0.5000 0.8212 0.1788
Ag: 0.6708 0.1520 0.1520
Ag: 0.8212 0.1788 0.5000
Ag: 0.8212 0.5000 0.1788
Ag: 0.8480 0.3292 0.8480
Ag: 0.8480 0.8480 0.3292
Pb: 0.3929 0.3929 0.3929
Pb: 0.6071 0.6071 0.6071

=====

[17]
# CoHgAs2

CoHgAs2 after structural relaxation (GGA-PBE, the Alexandria database).

Properties
ρ: 8375 kg/m3
V: 20.29 Å³ per atom
symmetry: Cmmm
energy of formation: 0.081 eV per atom
crystal system: orthorhombic
Fermi-level density of states: 2.394 states/eV/f.u.

Cell: 4.9005 4.9005 3.8184 Å, 90.00 90.00 117.73°
Positions (direct):
Co: 0.0000 0.0000 0.0000
Hg: 0.5000 0.5000 0.0000
As: 0.1592 0.8408 0.5000
As: 0.8408 0.1592 0.5000

=====

[18]
# ScMnTe2

ScMnTe2 after structural relaxation (GGA-PBE, the Alexandria database).

Properties
ρ: 6628 kg/m3
V: 22.24 Å³ per atom
symmetry: P4/mmm
crystal system: tetragonal
formation energy (no corrections): -0.3677 eV per atom
Fermi-level density of states: 4.089 states/eV/f.u.

Cell: 4.9630 4.9630 3.6117 Å, 90.00 90.00 90.00°
Positions (direct):
Sc: 0.0000 0.0000 0.0000
Mn: 0.5000 0.5000 0.0000
Te: 0.0000 0.5000 0.5000
Te: 0.5000 0.0000 0.5000